First-principles (GGA-PBEsol) data for a relaxed HfTaGaSi2 crystal, as listed in Alexandria via LeMat-Bulk.

Properties
**Raw total energy**: -6.22 eV/atom
**Crystal system**: tetragonal
**DOS at the Fermi energy**: 4.61 states/eV/cell

a b c (Å): 4.7805 4.7805 4.8225
angles (deg): 90.00 90.00 90.00
Space group P4/mmm (No. 123)
Symmetry-distinct sites (fractional):
Hf 0.0000 0.0000 0.0000
Ta 0.5000 0.5000 0.5000
Ga 0.0000 0.0000 0.5000
Si 0.0000 0.5000 0.0000

=====

First-principles (GGA-PBEsol) data for a relaxed TlGaGe2Ru crystal, as listed in Alexandria via LeMat-Bulk.

Properties
**E_form**: 1.5523 eV/atom
**Crystal system**: tetragonal
**DOS at the Fermi energy**: 5.91 states/eV/cell

a b c (Å): 5.1257 5.1257 5.0961
angles (deg): 90.00 90.00 90.00
Space group P4/mmm (No. 123)
Symmetry-distinct sites (fractional):
Tl 0.0000 0.0000 0.0000
Ga 0.5000 0.5000 0.5000
Ge 0.0000 0.5000 0.0000
Ru 0.0000 0.0000 0.5000

=====

First-principles (GGA-PBEsol) data for a relaxed CoBi3I crystal, as listed in Alexandria via LeMat-Bulk.

Properties
**Raw total energy**: -2.74 eV/atom
**Crystal system**: cubic
**DOS at the Fermi energy**: 9.00 states/eV/cell

a b c (Å): 5.8278 5.8278 5.8278
angles (deg): 90.00 90.00 90.00
Space group Pm-3m (No. 221)
Symmetry-distinct sites (fractional):
Co 0.0000 0.0000 0.0000
Bi 0.0000 0.5000 0.5000
I 0.5000 0.5000 0.5000

=====

First-principles (GGA-PBEsol) data for a relaxed MnTeAsN2 crystal, as listed in Alexandria via LeMat-Bulk.

Properties
**Raw total energy**: -5.84 eV/atom
**Crystal system**: tetragonal
**DOS at the Fermi energy**: 2.11 states/eV/cell

a b c (Å): 3.7353 3.7353 6.2440
angles (deg): 90.00 90.00 90.00
Space group P4/mmm (No. 123)
Symmetry-distinct sites (fractional):
Mn 0.0000 0.0000 0.0000
Te 0.5000 0.5000 0.0000
As 0.5000 0.5000 0.5000
N 0.0000 0.5000 0.5000

=====

First-principles (GGA-PBEsol) data for a relaxed Te2PdPtN crystal, as listed in Alexandria via LeMat-Bulk.

Properties
**Raw total energy**: -5.20 eV/atom
**Crystal system**: tetragonal
**DOS at the Fermi energy**: 2.49 states/eV/cell

a b c (Å): 5.4456 5.4456 3.5749
angles (deg): 90.00 90.00 90.00
Space group P4/mmm (No. 123)
Symmetry-distinct sites (fractional):
Te 0.0000 0.5000 0.0000
Pd 0.0000 0.0000 0.5000
Pt 0.5000 0.5000 0.0000
N 0.5000 0.5000 0.5000

=====

First-principles (GGA-PBEsol) data for a relaxed Ba2CaSeO6 crystal, as listed in Alexandria via LeMat-Bulk.

Properties
**Raw total energy**: -6.40 eV/atom
**Crystal system**: cubic
**DOS at the Fermi energy**: 0.00 states/eV/cell

a b c (Å): 8.1900 8.1900 8.1900
angles (deg): 90.00 90.00 90.00
Space group Fm-3m (No. 225)
Symmetry-distinct sites (fractional):
Ba 0.2500 0.2500 0.2500
Ca 0.0000 0.0000 0.0000
Se 0.0000 0.0000 0.5000
O 0.0000 0.0000 0.2771